Entry 1:
{"formula": "K2Pa2Se7", "functional": "GGA-PBE", "state": "optimized geometry", "lattice_angstrom": [[6.662, -0.003, -0.237], [0.003, 8.164, 0.004], [-0.652, -0.003, 6.635]], "species": ["K", "K", "Pa", "Pa", "Se", "Se", "Se", "Se", "Se", "Se", "Se"], "fractional_positions": [[0.764, 0.500, 0.764], [0.236, 0.500, 0.236], [0.726, 0.000, 0.274], [0.274, 0.000, 0.726], [0.000, 0.220, 0.500], [0.500, 0.780, 0.000], [0.000, 0.780, 0.500], [0.500, 0.220, 0.000], [0.000, 0.000, 0.000], [0.500, 0.787, 0.500], [0.500, 0.213, 0.500]], "e_tot_ev_per_cell": -58.38, "e_form_raw_kj_per_mol_fu": -1235, "magnetic_moment_mub_per_fu": 0.00, "sg": "No. 65"}

=====

Entry 2:
{"formula": "K4Pa3Se8", "functional": "GGA-PBE", "state": "optimized geometry", "lattice_angstrom": [[-5.603, -1.452, 6.374], [2.836, -1.135, 8.050], [-1.494, 7.244, 6.152]], "species": ["K", "K", "K", "K", "Pa", "Pa", "Pa", "Se", "Se", "Se", "Se", "Se", "Se", "Se", "Se"], "fractional_positions": [[0.000, 0.000, 0.000], [0.357, 0.357, 0.930], [0.500, 0.500, 0.500], [0.643, 0.643, 0.070], [0.500, 0.000, 0.500], [0.000, 0.000, 0.500], [0.000, 0.500, 0.500], [0.228, 0.228, 0.316], [0.200, 0.748, 0.305], [0.748, 0.748, 0.305], [0.748, 0.200, 0.305], [0.772, 0.772, 0.684], [0.800, 0.252, 0.695], [0.252, 0.252, 0.695], [0.252, 0.800, 0.695]], "e_tot_ev_per_cell": -80.92, "e_form_raw_kj_per_mol_fu": -1946, "magnetic_moment_mub_per_fu": 3.00, "sg": "No. 166"}

=====

Entry 3:
{"formula": "KPa3Se7", "functional": "GGA-PBE", "state": "optimized geometry", "lattice_angstrom": [[-5.797, 1.959, 3.096], [2.609, -4.962, 4.584], [3.589, 5.595, 1.689]], "species": ["K", "Pa", "Pa", "Pa", "Se", "Se", "Se", "Se", "Se", "Se", "Se"], "fractional_positions": [[0.500, 0.500, 0.500], [0.227, 0.000, 0.773], [0.000, 0.500, 0.000], [0.773, 0.000, 0.227], [0.851, 0.778, 0.851], [0.983, 0.744, 0.376], [0.624, 0.256, 0.017], [0.376, 0.744, 0.983], [0.500, 0.000, 0.500], [0.017, 0.256, 0.624], [0.149, 0.222, 0.149]], "e_tot_ev_per_cell": -68.50, "e_form_raw_kj_per_mol_fu": -1401, "magnetic_moment_mub_per_fu": 2.06, "sg": "No. 12"}

=====

Entry 4:
{"formula": "KPaSe4", "functional": "GGA-PBE", "state": "optimized geometry", "lattice_angstrom": [[-0.994, -2.240, -4.136], [-3.910, -2.764, 0.423], [-5.485, 6.208, -2.796]], "species": ["K", "Pa", "Se", "Se", "Se", "Se"], "fractional_positions": [[0.500, 0.500, 0.500], [0.000, 0.000, 0.000], [0.619, 0.619, 0.093], [0.381, 0.381, 0.907], [0.109, 0.109, 0.702], [0.891, 0.891, 0.298]], "e_tot_ev_per_cell": -30.71, "e_form_raw_kj_per_mol_fu": -596, "magnetic_moment_mub_per_fu": 0.00, "sg": "No. 12", "relative_energy_kj_per_mol_atoms": 9.7}

=====

Entry 5:
{"formula": "K2Pa3Se6", "functional": "GGA-PBE", "state": "optimized geometry", "lattice_angstrom": [[-0.595, 2.005, 6.822], [-4.365, -3.540, 4.391], [5.810, -4.287, 4.245]], "species": ["K", "K", "Pa", "Pa", "Pa", "Se", "Se", "Se", "Se", "Se", "Se"], "fractional_positions": [[0.167, 0.666, 0.500], [0.833, 0.334, 0.500], [0.000, 0.000, 0.000], [0.335, 0.330, 0.000], [0.665, 0.670, 0.000], [0.402, 0.666, 0.793], [0.737, 0.000, 0.791], [0.068, 0.334, 0.793], [0.263, 0.000, 0.209], [0.598, 0.334, 0.207], [0.932, 0.666, 0.207]], "e_tot_ev_per_cell": -66.45, "e_form_raw_kj_per_mol_fu": -1434, "magnetic_moment_mub_per_fu": 5.04, "sg": "No. 12"}

=====

Entry 6:
{"formula": "K3Pa2Se7", "functional": "GGA-PBE", "state": "optimized geometry", "lattice_angstrom": [[-5.013, -0.682, -2.215], [2.258, -0.163, -5.061], [0.160, -12.581, 3.514]], "species": ["K", "K", "K", "Pa", "Pa", "Se", "Se", "Se", "Se", "Se", "Se", "Se"], "fractional_positions": [[0.500, 0.500, 0.000], [0.500, 0.690, 0.381], [0.500, 0.310, 0.619], [0.000, 0.891, 0.783], [0.000, 0.109, 0.217], [0.000, 0.390, 0.780], [0.000, 0.786, 0.571], [0.000, 0.000, 0.000], [0.000, 0.610, 0.220], [0.500, 0.104, 0.208], [0.500, 0.896, 0.792], [0.000, 0.214, 0.429]], "e_tot_ev_per_cell": -61.81, "e_form_raw_kj_per_mol_fu": -1460, "magnetic_moment_mub_per_fu": 0.00, "sg": "No. 65"}

=====

Entry 7:
{"formula": "KPa5Se12", "functional": "GGA-PBE", "state": "optimized geometry", "lattice_angstrom": [[-6.552, -3.338, -4.522], [7.032, -4.855, -1.221], [-0.555, 0.053, 8.614]], "species": ["K", "Pa", "Pa", "Pa", "Pa", "Pa", "Se", "Se", "Se", "Se", "Se", "Se", "Se", "Se", "Se", "Se", "Se", "Se"], "fractional_positions": [[0.000, 0.500, 0.500], [0.670, 0.670, 0.000], [0.330, 0.330, 0.000], [0.500, 0.159, 0.659], [0.500, 0.841, 0.341], [0.000, 0.000, 0.000], [0.538, 0.837, 0.701], [0.462, 0.163, 0.299], [0.864, 0.163, 0.701], [0.136, 0.837, 0.299], [0.698, 0.652, 0.350], [0.302, 0.348, 0.650], [0.302, 0.652, 0.954], [0.698, 0.348, 0.046], [0.812, 0.599, 0.787], [0.188, 0.401, 0.213], [0.188, 0.975, 0.787], [0.812, 0.025, 0.213]], "e_tot_ev_per_cell": -111.24, "e_form_raw_kj_per_mol_fu": -2011, "magnetic_moment_mub_per_fu": 1.84, "sg": "No. 71"}

=====

Entry 8:
{"formula": "K3Pa5Se12", "functional": "GGA-PBE", "state": "optimized geometry", "lattice_angstrom": [[15.495, 0.000, 0.000], [-5.165, 14.609, 0.000], [-5.165, -7.304, 12.652]], "species": ["K", "K", "K", "K", "K", "K", "K", "K", "K", "K", "K", "K", "Pa", "Pa", "Pa", "Pa", "Pa", "Pa", "Pa", "Pa", "Pa", "Pa", "Pa", "Pa", "Pa", "Pa", "Pa", "Pa", "Pa", "Pa", "Pa", "Pa", "Se", "Se", "Se", "Se", "Se", "Se", "Se", "Se", "Se", "Se", "Se", "Se", "Se", "Se", "Se", "Se", "Se", "Se", "Se", "Se", "Se", "Se", "Se", "Se", "Se", "Se", "Se", "Se", "Se", "Se", "Se", "Se", "Se", "Se", "Se", "Se", "Se", "Se", "Se", "Se", "Se", "Se", "Se", "Se", "Se", "Se", "Se", "Se"], "fractional_positions": [[0.750, 0.375, 0.125], [0.875, 0.750, 0.125], [0.375, 0.750, 0.625], [0.250, 0.125, 0.375], [0.875, 0.125, 0.250], [0.375, 0.625, 0.250], [0.625, 0.375, 0.750], [0.125, 0.875, 0.750], [0.750, 0.875, 0.625], [0.625, 0.250, 0.375], [0.125, 0.250, 0.875], [0.250, 0.625, 0.875], [0.125, 0.375, 0.250], [0.000, 0.500, 0.000], [0.000, 0.000, 0.000], [0.375, 0.250, 0.125], [0.500, 0.000, 0.500], [0.500, 0.500, 0.000], [0.125, 0.750, 0.375], [0.750, 0.125, 0.875], [0.750, 0.625, 0.375], [0.375, 0.125, 0.750], [0.625, 0.875, 0.250], [0.500, 0.500, 0.500], [0.500, 0.000, 0.000], [0.000, 0.000, 0.500], [0.250, 0.375, 0.625], [0.250, 0.875, 0.125], [0.000, 0.500, 0.500], [0.875, 0.250, 0.625], [0.625, 0.750, 0.875], [0.875, 0.625, 0.750], [0.700, 0.114, 0.025], [0.325, 0.525, 0.410], [0.975, 0.386, 0.300], [0.525, 0.200, 0.114], [0.586, 0.700, 0.675], [0.975, 0.590, 0.175], [0.325, 0.800, 0.414], [0.090, 0.914, 0.114], [0.590, 0.975, 0.675], [0.700, 0.586, 0.175], [0.800, 0.475, 0.386], [0.825, 0.910, 0.025], [0.114, 0.700, 0.525], [0.386, 0.410, 0.086], [0.086, 0.910, 0.386], [0.414, 0.114, 0.590], [0.086, 0.175, 0.200], [0.475, 0.675, 0.090], [0.825, 0.914, 0.300], [0.114, 0.414, 0.090], [0.386, 0.975, 0.800], [0.590, 0.614, 0.414], [0.910, 0.825, 0.525], [0.800, 0.325, 0.914], [0.410, 0.386, 0.586], [0.090, 0.175, 0.475], [0.200, 0.675, 0.086], [0.175, 0.086, 0.700], [0.614, 0.025, 0.200], [0.886, 0.586, 0.910], [0.525, 0.325, 0.910], [0.586, 0.886, 0.410], [0.914, 0.825, 0.800], [0.914, 0.090, 0.614], [0.886, 0.300, 0.475], [0.175, 0.090, 0.975], [0.614, 0.590, 0.914], [0.410, 0.025, 0.325], [0.300, 0.414, 0.825], [0.200, 0.525, 0.614], [0.910, 0.086, 0.886], [0.675, 0.200, 0.586], [0.475, 0.800, 0.886], [0.025, 0.410, 0.825], [0.414, 0.300, 0.325], [0.025, 0.614, 0.700], [0.675, 0.475, 0.590], [0.300, 0.886, 0.975]], "e_tot_ev_per_cell": -463.18, "e_form_raw_kj_per_mol_fu": -2239, "magnetic_moment_mub_per_fu": 4.04, "sg": "No. 230"}

=====

Entry 9:
{"formula": "KPa2Se5", "functional": "GGA-PBE", "state": "optimized geometry", "lattice_angstrom": [[7.095, 0.000, -3.349], [-1.581, 6.917, -3.349], [0.032, 0.040, 9.258]], "species": ["K", "K", "Pa", "Pa", "Pa", "Pa", "Se", "Se", "Se", "Se", "Se", "Se", "Se", "Se", "Se", "Se"], "fractional_positions": [[0.750, 0.750, 0.500], [0.250, 0.250, 0.500], [0.157, 0.343, 0.000], [0.657, 0.157, 0.000], [0.343, 0.843, 0.000], [0.843, 0.657, 0.000], [0.524, 0.733, 0.756], [0.767, 0.976, 0.244], [0.000, 0.000, 0.000], [0.500, 0.500, 0.000], [0.233, 0.024, 0.756], [0.733, 0.233, 0.756], [0.024, 0.524, 0.756], [0.267, 0.767, 0.244], [0.976, 0.476, 0.244], [0.476, 0.267, 0.244]], "e_tot_ev_per_cell": -97.67, "e_form_raw_kj_per_mol_fu": -1092, "magnetic_moment_mub_per_fu": 1.06, "sg": "No. 140", "relative_energy_kj_per_mol_atoms": 0.0}

=====

Entry 10:
{"formula": "K4PaSe5", "functional": "GGA-PBE", "state": "optimized geometry", "lattice_angstrom": [[-4.172, 0.782, 3.783], [1.037, -5.147, 6.480], [2.230, 5.836, 5.525]], "species": ["K", "K", "K", "K", "Pa", "Se", "Se", "Se", "Se", "Se"], "fractional_positions": [[0.776, 0.723, 0.723], [0.499, 0.277, 0.723], [0.499, 0.723, 0.277], [0.222, 0.277, 0.277], [0.999, 0.000, 0.000], [0.175, 0.648, 0.000], [0.175, 0.000, 0.648], [0.823, 0.000, 0.352], [0.823, 0.352, 0.000], [0.499, 0.000, 0.000]], "e_tot_ev_per_cell": -42.51, "e_form_raw_kj_per_mol_fu": -1081, "magnetic_moment_mub_per_fu": 0.00, "sg": "No. 139", "relative_energy_kj_per_mol_atoms": 9.1}

=====

Entry 11:
{"formula": "KPa3Se8", "functional": "GGA-PBE", "state": "optimized geometry", "lattice_angstrom": [[-2.409, 3.746, -5.806], [-4.753, -3.502, 4.323], [-0.758, 6.962, 4.806]], "species": ["K", "Pa", "Pa", "Pa", "Se", "Se", "Se", "Se", "Se", "Se", "Se", "Se"], "fractional_positions": [[0.000, 0.000, 0.500], [0.667, 0.333, 0.913], [0.333, 0.667, 0.087], [0.000, 0.000, 0.000], [0.707, 0.065, 0.161], [0.358, 0.293, 0.161], [0.935, 0.642, 0.161], [0.293, 0.935, 0.839], [0.642, 0.707, 0.839], [0.065, 0.358, 0.839], [0.667, 0.333, 0.609], [0.333, 0.667, 0.391]], "e_tot_ev_per_cell": -72.16, "e_form_raw_kj_per_mol_fu": -1418, "magnetic_moment_mub_per_fu": 0.00, "sg": "No. 147"}

=====

Entry 12:
{"formula": "KPaSe", "functional": "GGA-PBE", "state": "optimized geometry", "lattice_angstrom": [[3.856, 0.000, 0.000], [0.000, 4.154, 0.000], [0.000, 0.000, 26.856]], "species": ["Se", "Se", "Se", "Se", "K", "K", "K", "K", "Pa", "Pa", "Pa", "Pa"], "fractional_positions": [[0.288, 0.750, 0.820], [0.212, 0.750, 0.320], [0.712, 0.250, 0.180], [0.788, 0.250, 0.680], [0.275, 0.250, 0.570], [0.225, 0.250, 0.070], [0.725, 0.750, 0.430], [0.775, 0.750, 0.930], [0.289, 0.750, 0.709], [0.211, 0.750, 0.209], [0.711, 0.250, 0.291], [0.789, 0.250, 0.791]], "e_tot_ev_per_cell": -63.96, "e_form_raw_kj_per_mol_fu": -185, "magnetic_moment_mub_per_fu": 1.56, "sg": "No. 62"}

=====

Entry 13:
{"formula": "KPaSe3", "functional": "GGA-PBE", "state": "optimized geometry", "lattice_angstrom": [[6.682, 0.000, 3.183], [2.583, 6.162, 3.183], [0.081, 0.054, 8.435]], "species": ["K", "K", "Pa", "Pa", "Se", "Se", "Se", "Se", "Se", "Se"], "fractional_positions": [[0.126, 0.126, 0.622], [0.874, 0.874, 0.378], [0.334, 0.334, 0.997], [0.666, 0.666, 0.003], [0.394, 0.919, 0.245], [0.919, 0.442, 0.245], [0.442, 0.394, 0.245], [0.606, 0.558, 0.755], [0.081, 0.606, 0.755], [0.558, 0.081, 0.755]], "e_tot_ev_per_cell": -55.42, "e_form_raw_kj_per_mol_fu": -643, "magnetic_moment_mub_per_fu": 0.00, "sg": "No. 155", "relative_energy_kj_per_mol_atoms": 3.3}

=====

Entry 14:
{"formula": "K2PaSe3", "functional": "GGA-PBE", "state": "optimized geometry", "lattice_angstrom": [[7.518, -0.028, -1.268], [-4.055, 6.330, -1.268], [0.054, 0.098, 8.085]], "species": ["K", "K", "K", "K", "Pa", "Pa", "Se", "Se", "Se", "Se", "Se", "Se"], "fractional_positions": [[0.833, 0.167, 0.500], [0.333, 0.667, 0.000], [0.177, 0.823, 0.500], [0.490, 0.510, 0.500], [0.001, 0.999, 0.000], [0.666, 0.334, 0.000], [0.633, 0.966, 0.791], [0.034, 0.367, 0.209], [0.891, 0.595, 0.790], [0.262, 0.224, 0.790], [0.405, 0.109, 0.210], [0.776, 0.738, 0.210]], "e_tot_ev_per_cell": -61.08, "e_form_raw_kj_per_mol_fu": -810, "magnetic_moment_mub_per_fu": 1.00, "sg": "No. 12", "relative_energy_kj_per_mol_atoms": 0.0}

=====

Entry 15:
{"formula": "K5PaSe4", "functional": "GGA-PBE", "state": "optimized geometry", "lattice_angstrom": [[4.457, 0.000, 0.000], [0.000, 9.100, -0.195], [-2.228, -1.463, 9.687]], "species": ["K", "K", "K", "K", "K", "Pa", "Se", "Se", "Se", "Se"], "fractional_positions": [[0.839, 0.678, 0.677], [0.823, 0.157, 0.645], [0.177, 0.843, 0.355], [0.500, 0.500, 0.000], [0.161, 0.322, 0.323], [0.500, 0.000, 0.000], [0.355, 0.930, 0.710], [0.006, 0.787, 0.012], [0.645, 0.070, 0.290], [0.994, 0.213, 0.988]], "e_tot_ev_per_cell": -40.05, "e_form_raw_kj_per_mol_fu": -1074, "magnetic_moment_mub_per_fu": 0.77, "sg": "No. 12"}

=====

Entry 16:
{"formula": "KPa6Se12", "functional": "GGA-PBE", "state": "optimized geometry", "lattice_angstrom": [[-2.084, -5.535, 6.215], [8.345, -1.260, -1.546], [-0.568, 7.798, 3.533]], "species": ["K", "Pa", "Pa", "Pa", "Pa", "Pa", "Pa", "Se", "Se", "Se", "Se", "Se", "Se", "Se", "Se", "Se", "Se", "Se", "Se"], "fractional_positions": [[0.000, 0.000, 0.000], [0.663, 0.259, 0.259], [0.259, 0.259, 0.663], [0.259, 0.663, 0.259], [0.741, 0.741, 0.337], [0.337, 0.741, 0.741], [0.741, 0.337, 0.741], [0.872, 0.128, 0.500], [0.827, 0.568, 0.568], [0.568, 0.568, 0.827], [0.432, 0.173, 0.432], [0.432, 0.432, 0.173], [0.173, 0.432, 0.432], [0.128, 0.500, 0.872], [0.500, 0.872, 0.128], [0.128, 0.872, 0.500], [0.872, 0.500, 0.128], [0.500, 0.128, 0.872], [0.568, 0.827, 0.568]], "e_tot_ev_per_cell": -123.03, "e_form_raw_kj_per_mol_fu": -2233, "magnetic_moment_mub_per_fu": 7.11, "sg": "No. 166"}

=====

Entry 17:
{"formula": "K3Pa2Se6", "functional": "GGA-PBE", "state": "optimized geometry", "lattice_angstrom": [[-0.049, -5.473, -0.259], [2.694, -0.250, 4.765], [-12.905, 2.655, 4.285]], "species": ["K", "K", "K", "Pa", "Pa", "Se", "Se", "Se", "Se", "Se", "Se"], "fractional_positions": [[0.000, 0.000, 0.000], [0.820, 0.820, 0.639], [0.180, 0.180, 0.361], [0.403, 0.403, 0.805], [0.597, 0.597, 0.195], [0.080, 0.580, 0.160], [0.580, 0.080, 0.160], [0.920, 0.420, 0.840], [0.420, 0.920, 0.840], [0.695, 0.695, 0.390], [0.305, 0.305, 0.610]], "e_tot_ev_per_cell": -57.07, "e_form_raw_kj_per_mol_fu": -1339, "magnetic_moment_mub_per_fu": 1.10, "sg": "No. 139"}